# 1
{"formula": "PPb", "functional": "PBEsol", "state": "relaxed", "cell": [[-2.3934, -1.7251, -1.5543], [3.2067, -0.7350, -0.5449], [-0.2073, -6.4409, 7.4679]], "species": ["Pb", "Pb", "P", "P"], "frac_coords": [[0.3333, 0.6667, 0.6443], [0.6667, 0.3333, 0.3557], [0.3333, 0.6667, 0.0624], [0.6667, 0.3333, 0.9376]], "energy_ev_per_atom": -4.804, "formation_energy_ev_per_atom": 0.091, "magmom_total_mub_per_fu": 0.0, "density_g_cm3": 8.33, "sg": "P-3m1, No. 164"}

# 2
{"formula": "Zr3HRh", "functional": "PBEsol", "state": "relaxed", "cell": [[4.3001, 0.0000, 0.0000], [0.0000, 4.3001, 0.0000], [0.0000, 0.0000, 4.3001]], "species": ["Zr", "Rh", "Zr", "H", "Zr"], "frac_coords": [[0.0000, 0.5000, 0.0000], [0.5000, 0.5000, 0.5000], [0.5000, 0.0000, 0.0000], [0.0000, 0.0000, 0.0000], [0.0000, 0.0000, 0.5000]], "energy_ev_per_atom": -8.033, "magmom_total_mub_per_fu": 0.0, "density_g_cm3": 7.89, "sg": "Pm-3m, No. 221"}